# 1
## NaSrPd2 (PBE)

Data for a relaxed NaSrPd2 crystal.

Cell: 4.1220 4.6224 4.6224 Å, 90.00 90.00 90.00°
Closest atoms and distances in Å follow each position.
Element x y z (fractional)
Pd  0.0000  0.5000  0.0000  4 Sr 3.10, 4 Na 3.10, 4 Pd 3.27
Pd  0.0000  0.0000  0.5000  4 Sr 3.10, 4 Na 3.10, 4 Pd 3.27
Sr  0.5000  0.5000  0.5000  8 Pd 3.10, 4 Na 3.27
Na  0.5000  0.0000  0.0000  8 Pd 3.10, 4 Sr 3.27

Computed properties:
crystal system: tetragonal
calculated formation energy: -27 kJ/mol of atoms
total magnetization: 0.00 μB per formula unit
density: 6.10 g/cm³
E_tot: -3.62 eV per atom
space-group type: P4/mmm


# 2
## Na2Sr2Pd15 (PBE)

Data for a relaxed Na2Sr2Pd15 crystal.

Cell: 7.0619 7.0619 7.0619 Å, 83.29 83.29 83.29°
Closest atoms and distances in Å follow each position.
Element x y z (fractional)
Pd  0.0000  0.0000  0.5000  8 Pd 2.70-2.72, 2 Na 2.88
Pd  0.0000  0.5000  0.0000  8 Pd 2.70-2.72, 2 Na 2.88
Pd  0.8384  0.3433  0.3433  8 Pd 2.69-2.80, 1 Na 2.94
Pd  0.0000  0.3105  0.6895  8 Pd 2.70-2.91
Pd  0.0000  0.6895  0.3105  8 Pd 2.70-2.91
Pd  0.3433  0.3433  0.8384  8 Pd 2.69-2.80, 1 Na 2.94
Pd  0.1616  0.6567  0.6567  8 Pd 2.69-2.80, 1 Na 2.94
Pd  0.3105  0.0000  0.6895  8 Pd 2.70-2.91
Pd  0.3105  0.6895  0.0000  8 Pd 2.70-2.91
Pd  0.6567  0.6567  0.1616  8 Pd 2.69-2.80, 1 Na 2.94
Pd  0.5000  0.0000  0.0000  8 Pd 2.70-2.72, 2 Na 2.88
Pd  0.6895  0.0000  0.3105  8 Pd 2.70-2.91
Pd  0.6567  0.1616  0.6567  8 Pd 2.69-2.80, 1 Na 2.94
Pd  0.6895  0.3105  0.0000  8 Pd 2.70-2.91
Pd  0.3433  0.8384  0.3433  8 Pd 2.69-2.80, 1 Na 2.94
Na  0.9047  0.9047  0.9047  1 Na 2.59, 3 Pd 2.88
Na  0.0953  0.0953  0.0953  1 Na 2.59, 3 Pd 2.88
Sr  0.3461  0.3461  0.3461  15 Pd 3.25-3.59, 1 Na 3.41
Sr  0.6539  0.6539  0.6539  15 Pd 3.25-3.59, 1 Na 3.41

Computed properties:
crystal system: trigonal
calculated formation energy: -27 kJ/mol of atoms
total magnetization: 0.00 μB per formula unit
density: 8.74 g/cm³
E_tot: -4.69 eV per atom
space-group type: R-3m


# 3
## NaSr2Pd2 (PBE)

Data for a relaxed NaSr2Pd2 crystal.

Cell: 8.7689 8.7689 3.6758 Å, 90.00 90.00 90.00°
Closest atoms and distances in Å follow each position.
Element x y z (fractional)
Na  0.5000  0.5000  0.0000  4 Sr 3.36, 2 Na 3.68
Na  0.0000  0.0000  0.0000  4 Sr 3.36, 2 Na 3.68
Sr  0.8543  0.6457  0.0000  6 Pd 3.13-3.18, 2 Na 3.36
Sr  0.3543  0.8543  0.0000  6 Pd 3.13-3.18, 2 Na 3.36
Sr  0.1457  0.3543  0.0000  6 Pd 3.13-3.18, 2 Na 3.36
Sr  0.6457  0.1457  0.0000  6 Pd 3.13-3.18, 2 Na 3.36
Pd  0.6500  0.8500  0.5000  6 Sr 3.13-3.18
Pd  0.8500  0.3500  0.5000  6 Sr 3.13-3.18
Pd  0.1500  0.6500  0.5000  6 Sr 3.13-3.18
Pd  0.3500  0.1500  0.5000  6 Sr 3.13-3.18

Computed properties:
crystal system: tetragonal
calculated formation energy: -29 kJ/mol of atoms
relative energy among the computed polymorphs: 0.1513 eV/atom
total magnetization: 0.00 μB per formula unit
density: 4.83 g/cm³
E_tot: -3.31 eV per atom
space-group type: P4/mbm